Compound: GaSn4Br8
Source: Alexandria
Functional: GGA-PBE
Structure: relaxed Values from VASP.

```
&SYSTEM
  ibrav = 0, nat = 13, ntyp = 3
/
ATOMIC_SPECIES
Ga 69.72 Ga.upf
Sn 118.71 Sn.upf
Br 79.90 Br.upf
CELL_PARAMETERS angstrom
4.5243 2.6121 6.8204
-4.5243 2.6121 6.8204
0.0000 -5.2242 6.8204
ATOMIC_POSITIONS angstrom
Ga 0.0000 0.0000 0.0000
Sn -4.5242 0.0000 10.2305
Sn -2.2621 1.3060 3.4102
Sn 2.2621 1.3060 3.4102
Sn 0.0000 0.0000 10.2305
Br 0.0000 0.0000 4.9597
Br -2.2531 -1.3008 11.8386
Br 0.0000 -2.6016 8.6225
Br -2.2531 1.3008 8.6225
Br 2.2531 -1.3008 11.8386
Br 0.0000 2.6016 11.8386
Br 2.2531 1.3008 8.6224
Br 0.0000 0.0000 15.5014
```

Calculated values
formation energy (no corrections): -0.6042 eV per atom
DOS(E_F): 0.2544 states/eV/atom
total moment: 0.000 μB/cell
excess energy over the best structure of this formula in the dataset: 0 meV/atom